Entry 1:
! Ac6Hg3Ir2, optimized geometry, DFT GGA-PBE; values from VASP
&SYSTEM
  ibrav = 0, nat = 11, ntyp = 3
/
ATOMIC_SPECIES
Ac 227.00 Ac.upf
Hg 200.59 Hg.upf
Ir 192.22 Ir.upf
CELL_PARAMETERS angstrom
-2.879 2.879 11.592
2.879 -2.879 11.592
2.879 2.879 -11.592
ATOMIC_POSITIONS crystal
Ac 0.085 0.585 0.500
Ac 0.199 0.199 0.000
Ac 0.415 0.915 0.500
Ac 0.585 0.085 0.500
Ac 0.801 0.801 0.000
Ac 0.915 0.415 0.500
Hg 0.337 0.337 0.000
Hg 0.500 0.500 0.000
Hg 0.663 0.663 0.000
Ir 0.061 0.061 0.000
Ir 0.939 0.939 0.000
! Volume ... 384 Å³/cell
! SG ... I4/mmm, No. 139
! N(E_F) ... 0.854 states/eV per atom
! Raw total energy ... -4.334 eV per atom

Entry 2:
! SmDyTlNi, optimized geometry, DFT GGA-PBE; values from VASP
&SYSTEM
  ibrav = 0, nat = 4, ntyp = 4
/
ATOMIC_SPECIES
Sm 150.36 Sm.upf
Dy 162.50 Dy.upf
Tl 204.38 Tl.upf
Ni 58.69 Ni.upf
CELL_PARAMETERS angstrom
0.000 3.656 3.656
3.656 0.000 3.656
3.656 3.656 0.000
ATOMIC_POSITIONS crystal
Sm 0.000 0.000 0.000
Dy 0.500 0.500 0.500
Tl 0.750 0.750 0.750
Ni 0.250 0.250 0.250
! Volume ... 98 Å³/cell
! SG ... F-43m, No. 216
! N(E_F) ... 1.114 states/eV per atom
! Raw total energy ... -4.590 eV per atom

Entry 3:
! Sr2MnSe, optimized geometry, DFT GGA-PBE; values from VASP
&SYSTEM
  ibrav = 0, nat = 4, ntyp = 3
/
ATOMIC_SPECIES
Sr 87.62 Sr.upf
Mn 54.94 Mn.upf
Se 78.96 Se.upf
CELL_PARAMETERS angstrom
3.706 -2.142 0.000
3.706 2.142 0.000
-2.479 0.000 8.301
ATOMIC_POSITIONS crystal
Sr 0.242 0.242 0.225
Sr 0.758 0.758 0.775
Mn 0.000 0.000 0.500
Se 0.500 0.500 0.000
! Volume ... 132 Å³/cell
! SG ... C2/m, No. 12
! Formation energy from raw total energies ... -0.4773 eV/atom
! N(E_F) ... 0.848 states/eV per atom

Entry 4:
! Li4Cd3Si, optimized geometry, DFT GGA-PBE; values from VASP
&SYSTEM
  ibrav = 0, nat = 8, ntyp = 3
/
ATOMIC_SPECIES
Li 6.94 Li.upf
Cd 112.41 Cd.upf
Si 28.09 Si.upf
CELL_PARAMETERS angstrom
0.000 3.456 6.271
3.173 0.000 6.271
3.173 3.456 0.000
ATOMIC_POSITIONS crystal
Li 0.116 0.116 0.384
Li 0.384 0.384 0.116
Li 0.616 0.616 0.884
Li 0.884 0.884 0.616
Cd 0.000 0.000 0.000
Cd 0.256 0.256 0.744
Cd 0.744 0.744 0.256
Si 0.500 0.500 0.500
! Volume ... 138 Å³/cell
! SG ... Fmmm, No. 69
! Formation energy from raw total energies ... -0.1966 eV/atom
! N(E_F) ... 0.222 states/eV per atom

- Which value of volume does entry 2 give?
  98 Å³/cell